Material: La4TlHg
Method: DFT, PBE
State: relaxed

DOS at the Fermi energy	10.1	states/eV/cell
DFT formation energy	-0.1249	eV per atom
total DFT energy (no corrections)	-3.855	eV/atom
offset from the most stable computed form	1.09	eV per formula unit

Unit cell a=5.416 b=5.419 c=7.572 alpha=89.94 beta=89.97 gamma=90.00
Atoms (fractional coordinates):
La 0.501 0.997 0.257
La 0.501 0.998 0.739
La 0.002 0.497 0.739
La 0.001 0.497 0.258
Tl 0.501 0.497 0.998
Hg 0.001 0.997 0.498